Na3Co4O8: optimized geometry, PBE with a Hubbard U. Values from VASP.

Quantum ESPRESSO input file:
```
&SYSTEM
  ibrav = 0, nat = 15, ntyp = 3
/
ATOMIC_SPECIES
Na 22.99 Na.upf
Co 58.93 Co.upf
O 16.00 O.upf
CELL_PARAMETERS angstrom
2.870 5.025 -0.039
-2.870 5.025 -0.039
0.000 3.311 5.371
ATOMIC_POSITIONS crystal
Na 0.500 0.000 0.500
Na 0.000 0.500 0.500
Na 0.500 0.500 0.500
Co 0.500 0.000 0.000
Co 0.000 0.000 0.000
Co 0.500 0.500 0.000
Co 0.000 0.500 0.000
O 0.762 0.762 0.197
O 0.279 0.769 0.179
O 0.769 0.279 0.179
O 0.275 0.275 0.184
O 0.231 0.721 0.821
O 0.725 0.725 0.816
O 0.238 0.238 0.803
O 0.721 0.231 0.821
```

The total energy is -5.447 eV per atom. Its space-group type is C2/m. Its calculated volume is 10.38 Å³/atom.